This record from Alexandria via LeMat-Bulk describes RbCaVS4 after structural relaxation. The functional is PBE-GGA.

CIF file:
```
data_RbCaVS4
_cell_length_a 6.576
_cell_length_b 6.787
_cell_length_c 9.079
_cell_angle_alpha 90.00
_cell_angle_beta 107.74
_cell_angle_gamma 90.00
_space_group_name_H-M_alt 'P 1 21/m 1'
_space_group_IT_number 11
loop_
_space_group_symop_operation_xyz
'x,y,z'
'-x,-y,-z'
'-x,y+1/2,-z'
'x,-y+1/2,z'
loop_
_atom_site_label
_atom_site_type_symbol
_atom_site_fract_x
_atom_site_fract_y
_atom_site_fract_z
_atom_site_occupancy
Rb1 Rb 0.229 0.250 0.434 1
Ca1 Ca 0.273 0.250 0.955 1
V1 V 0.285 0.750 0.172 1
S1 S 0.086 0.750 0.323 1
S2 S 0.093 0.750 0.936 1
S3 S 0.499 0.001 0.213 1
```

***

This record from Alexandria via LeMat-Bulk describes Rb3Ca3WS8 after structural relaxation. The functional is PBE-GGA.

CIF file:
```
data_Rb3Ca3WS8
_cell_length_a 8.0378
_cell_length_b 8.0378
_cell_length_c 23.4525
_cell_angle_alpha 90.00
_cell_angle_beta 90.00
_cell_angle_gamma 120.00
_space_group_name_H-M_alt 'R -3 m'
_space_group_IT_number 166
_space_group_name_Hall '-R 3 2"'
loop_
_atom_site_label
_atom_site_type_symbol
_atom_site_fract_x
_atom_site_fract_y
_atom_site_fract_z
_atom_site_occupancy
Rb1 Rb 0.0000 0.5000 0.0000 1
Ca1 Ca 0.0000 0.5000 0.5000 1
W1 W 0.0000 0.0000 0.5000 1
S1 S 0.0000 0.0000 0.2321 1
S2 S 0.0486 0.5243 0.2261 1
```

***

no.,formation energy from raw total energies (eV/atom),size of the total moment (μB/cell)
1,-1.324,0.0
2,-1.230,0.0